Entry 1:
Below is a geometry-optimized U3Hg3AuSe8 structure, with properties calculated at the PBE level.

Values from the calculation:
* theoretical density: 6.80 Mg/m³
* Fermi-level density of states: 15.97 states/eV/f.u.
* formation energy (no corrections): -0.6334 eV per atom
* total DFT energy (no corrections): -75.42 eV per cell

Cell: 8.287 7.874 10.362 Å, 110.61 90.00 121.75°
Site moments in Bohr magnetons follow the coordinates.
Positions (direct):
1 Hg 0.500 0.500 0.000  -0.01
2 Se 0.790 0.581 0.345  -0.06
3 Se 0.756 0.068 0.325  -0.08
4 Se 0.312 0.068 0.325  -0.08
5 Se 0.244 0.932 0.675  -0.08
6 Hg 0.000 0.500 0.000  -0.01
7 Se 0.210 0.419 0.655  -0.06
8 Se 0.726 0.452 0.668  -0.06
9 U 0.500 0.500 0.500  1.36
10 Hg 0.000 0.000 0.000  -0.01
11 Se 0.688 0.932 0.675  -0.08
12 U 0.000 0.500 0.500  1.36
13 Au 0.000 0.000 0.500  -0.04
14 Se 0.274 0.548 0.332  -0.06
15 U 0.500 0.000 0.500  1.34

Entry 2:
Below is a geometry-optimized VHgAuSe2 structure, with properties calculated at the PBE level.

Values from the calculation:
* theoretical density: 7.34 Mg/m³
* Fermi-level density of states: 7.94 states/eV/f.u.
* formation energy (no corrections): 1.3322 eV per atom
* total DFT energy (no corrections): -13.01 eV per cell

Cell: 5.176 5.123 5.176 Å, 90.00 90.00 90.00°
Site moments in Bohr magnetons follow the coordinates.
Positions (direct):
1 Se 0.500 0.000 0.000  -0.03
2 Au 0.500 0.500 0.500  0.00
3 Se 0.000 0.000 0.500  -0.02
4 V 0.000 0.500 0.000  -0.06
5 Hg 0.000 0.000 0.000  0.00

Entry 3:
Below is a geometry-optimized Si2HgAu2 structure, with properties calculated at the PBE level.

Values from the calculation:
* theoretical density: 11.01 Mg/m³
* Fermi-level density of states: 1.99 states/eV/f.u.
* formation energy (no corrections): 0.1628 eV per atom
* energy relative to the lowest polymorph listed for this composition: 0.00 eV per formula unit
* total DFT energy (no corrections): -16.89 eV per cell

Cell: 4.477 4.477 5.832 Å, 67.43 67.43 90.00°
Positions (direct):
1 Au 0.250 0.750 0.500
2 Si 0.379 0.379 0.243
3 Au 0.750 0.250 0.500
4 Si 0.621 0.621 0.757
5 Hg 0.000 0.000 0.000

Entry 4:
Below is a geometry-optimized SiHg2Au structure, with properties calculated at the PBE level.

Values from the calculation:
* theoretical density: 12.46 Mg/m³
* Fermi-level density of states: 0.38 states/eV/f.u.
* formation energy (no corrections): 0.3298 eV per atom
* total DFT energy (no corrections): -7.98 eV per cell

Cell: 11.449 11.449 11.449 Å, 14.64 14.64 14.64°
Positions (direct):
1 Hg 0.001 0.001 0.001
2 Si 0.250 0.250 0.250
3 Hg 0.499 0.499 0.499
4 Au 0.750 0.750 0.750

Entry 5:
Below is a geometry-optimized SiHgAu structure, with properties calculated at the PBE level.

Values from the calculation:
* theoretical density: 11.41 Mg/m³
* Fermi-level density of states: 0.83 states/eV/f.u.
* formation energy (no corrections): 0.1776 eV per atom
* energy relative to the lowest polymorph listed for this composition: 0.00 eV per formula unit
* total DFT energy (no corrections): -8.47 eV per cell

Cell: 3.591 3.591 5.548 Å, 90.00 90.00 120.00°
Positions (direct):
1 Hg 0.333 0.667 0.344
2 Au 0.000 0.000 0.954
3 Si 0.667 0.333 0.702

Entry 6:
Below is a geometry-optimized SiHg2Au structure, with properties calculated at the PBE level.

Values from the calculation:
* theoretical density: 12.78 Mg/m³
* Fermi-level density of states: 1.27 states/eV/f.u.
* formation energy (no corrections): 0.3694 eV per atom
* total DFT energy (no corrections): -7.83 eV per cell

Cell: 3.045 3.045 8.776 Å, 90.00 90.00 90.00°
Positions (direct):
1 Au 0.500 0.500 0.750
2 Si 0.500 0.500 0.250
3 Hg 0.000 0.000 0.496
4 Hg 0.000 0.000 0.004

Entry 7:
Below is a geometry-optimized SiHg4Au5 structure, with properties calculated at the PBE level.

Values from the calculation:
* theoretical density: 14.42 Mg/m³
* Fermi-level density of states: 3.10 states/eV/f.u.
* formation energy (no corrections): 0.0776 eV per atom
* total DFT energy (no corrections): -22.24 eV per cell

Cell: 4.910 6.971 6.971 Å, 82.88 69.38 69.38°
Positions (direct):
1 Au 0.628 0.000 0.000
2 Au 0.154 0.000 0.631
3 Hg 0.460 0.675 0.325
4 Hg 0.460 0.325 0.675
5 Au 0.154 0.631 0.000
6 Si 0.144 0.000 0.000
7 Au 0.784 0.000 0.369
8 Hg 0.135 0.325 0.325
9 Au 0.784 0.369 0.000
10 Hg 0.785 0.675 0.675

Entry 8:
Below is a geometry-optimized SiHgAu structure, with properties calculated at the PBE level.

Values from the calculation:
* theoretical density: 9.99 Mg/m³
* Fermi-level density of states: 1.25 states/eV/f.u.
* formation energy (no corrections): 0.2892 eV per atom
* energy relative to the lowest polymorph listed for this composition: 0.33 eV per formula unit
* total DFT energy (no corrections): -16.27 eV per cell

Cell: 4.430 4.625 7.283 Å, 71.49 90.00 90.00°
Positions (direct):
1 Hg 0.250 0.286 0.428
2 Si 0.250 0.611 0.779
3 Si 0.750 0.389 0.221
4 Au 0.750 0.937 0.126
5 Hg 0.750 0.714 0.572
6 Au 0.250 0.063 0.874